[1]
## TlTc2Ag (PBE-GGA)

Data for a relaxed structure of TlTc2Ag.

Values from the calculation:
Volume = 17.33 Å³ per atom
Fermi-level density of states = 5.73 states/eV/f.u.
Formation enthalpy at 0 K = 0.83 eV per atom
Spin magnetization = 0.000 μB/atom

Unit cell a=2.9132 b=2.9132 c=28.3012 alpha=90.00 beta=90.00 gamma=120.00
Closest atoms and distances in Å follow each position.
Space group R-3m (No. 166, hexagonal axes)
Unique sites:
Tl1 0.0000 0.0000 0.0000  6 Tl 2.91, 6 Tc 2.93
Tc1 0.0000 0.0000 0.2486  3 Ag 2.86, 6 Tc 2.91, 3 Tl 2.93
Ag1 0.0000 0.0000 0.5000  6 Tc 2.86, 6 Ag 2.91


[2]
## TlTcAg (PBE-GGA)

Data for a relaxed structure of TlTcAg.

Values from the calculation:
Volume = 18.49 Å³ per atom
Fermi-level density of states = 3.37 states/eV/f.u.
Formation enthalpy at 0 K = 0.77 eV per atom
Spin magnetization = 0.002 μB/atom

Unit cell a=2.8691 b=4.3228 c=8.9462 alpha=90.00 beta=90.00 gamma=90.00
Closest atoms and distances in Å follow each position.
Space group Imm2 (No. 44)
Unique sites:
Tl1 0.0000 0.0000 0.0000  2 Tl 2.87, 5 Ag 2.91-3.03, 5 Tc 2.96-3.00
Tc1 0.0000 0.0000 0.3311  2 Tc 2.87, 5 Ag 2.95-3.08, 5 Tl 2.96-3.00
Ag1 0.0000 0.0000 0.6749  2 Ag 2.87, 5 Tl 2.91-3.03, 5 Tc 2.95-3.08


[3]
## TlTcAg (PBE-GGA)

Data for a relaxed structure of TlTcAg.

Values from the calculation:
Volume = 22.63 Å³ per atom
Fermi-level density of states = 1.87 states/eV/f.u.
Formation enthalpy at 0 K = 0.96 eV per atom
Spin magnetization = 0.708 μB/atom

Unit cell a=6.4755 b=6.4755 c=6.4755 alpha=90.00 beta=90.00 gamma=90.00
Closest atoms and distances in Å follow each position.
Space group F-43m (No. 216)
Unique sites:
Tl1 0.0000 0.0000 0.0000  4 Tc 2.80
Tc1 0.2500 0.2500 0.2500  4 Ag 2.80, 4 Tl 2.80
Ag1 0.0000 0.0000 0.5000  4 Tc 2.80


[4]
## TlTcAg (PBE-GGA)

Data for a relaxed structure of TlTcAg.

Values from the calculation:
Volume = 18.88 Å³ per atom
Fermi-level density of states = 2.86 states/eV/f.u.
Formation enthalpy at 0 K = 0.68 eV per atom
Spin magnetization = 0.196 μB/atom

Unit cell a=2.9972 b=2.9972 c=7.2815 alpha=90.00 beta=90.00 gamma=120.00
Closest atoms and distances in Å follow each position.
Space group P3m1 (No. 156)
Unique sites:
Tl1 0.0000 0.0000 0.0000  3 Tc 2.96, 6 Tl 3.00, 3 Ag 3.12
Tc1 0.6667 0.3333 0.6700  3 Ag 2.86, 3 Tl 2.96, 6 Tc 3.00
Ag1 0.3333 0.6667 0.3572  3 Tc 2.86, 6 Ag 3.00, 3 Tl 3.12


[5]
## TlTc4Ag (PBE-GGA)

Data for a relaxed structure of TlTc4Ag.

Values from the calculation:
Volume = 17.03 Å³ per atom
Fermi-level density of states = 7.03 states/eV/f.u.
Formation enthalpy at 0 K = 0.66 eV per atom
Spin magnetization = 0.000 μB/atom

Unit cell a=7.4207 b=7.4207 c=7.4207 alpha=90.00 beta=90.00 gamma=90.00
Closest atoms and distances in Å follow each position.
Space group F-43m (No. 216)
Unique sites:
Tl1 0.0000 0.0000 0.0000  12 Tc 3.08, 4 Ag 3.21
Tc1 0.1244 0.1244 0.3756  6 Tc 2.61-2.64
Ag1 0.2500 0.2500 0.7500  12 Tc 3.08, 4 Tl 3.21


[6]
## TlTc2Ag (PBE-GGA)

Data for a relaxed structure of TlTc2Ag.

Values from the calculation:
Volume = 19.29 Å³ per atom
Fermi-level density of states = 4.17 states/eV/f.u.
Formation enthalpy at 0 K = 1.20 eV per atom
Spin magnetization = 0.631 μB/atom

Unit cell a=7.6420 b=7.6420 c=5.2845 alpha=90.00 beta=90.00 gamma=90.00
Closest atoms and distances in Å follow each position.
Space group I-42d (No. 122)
Unique sites:
Tl1 0.0000 0.0000 0.0000  2 Ag 2.64, 4 Tc 2.79
Tc1 0.2476 0.2500 0.6250  2 Tc 2.64, 2 Ag 2.77, 2 Tl 2.79
Ag1 0.0000 0.0000 0.5000  2 Tl 2.64, 4 Tc 2.77


[7]
## TlTc2Ag (PBE-GGA)

Data for a relaxed structure of TlTc2Ag.

Values from the calculation:
Volume = 17.53 Å³ per atom
Fermi-level density of states = 4.12 states/eV/f.u.
Formation enthalpy at 0 K = 0.88 eV per atom
Spin magnetization = 0.000 μB/atom

Unit cell a=3.0435 b=4.7619 c=9.6777 alpha=90.00 beta=90.00 gamma=90.00
Closest atoms and distances in Å follow each position.
Space group Cmmm (No. 65)
Unique sites:
Tl1 0.0000 0.0000 0.0000  6 Tl 2.83-3.04, 4 Tc 2.88
Tc1 0.0000 0.5000 0.2525  6 Tc 2.83-3.04, 2 Ag 2.84, 2 Tl 2.88
Ag1 0.0000 0.0000 0.5000  6 Ag 2.83-3.04, 4 Tc 2.84


[8]
## TlTc2Ag (PBE-GGA)

Data for a relaxed structure of TlTc2Ag.

Values from the calculation:
Volume = 17.74 Å³ per atom
Fermi-level density of states = 3.61 states/eV/f.u.
Formation enthalpy at 0 K = 0.70 eV per atom
Spin magnetization = 0.000 μB/atom

Unit cell a=9.8132 b=3.1017 c=4.7820 alpha=90.00 beta=102.89 gamma=90.00
Closest atoms and distances in Å follow each position.
Space group C2/m (No. 12)
Unique sites:
Tl1 0.0000 0.0000 0.0000  4 Ag 2.85, 6 Tc 2.98-3.08, 2 Tl 3.10
Tc1 0.2492 0.0000 0.7059  2 Tc 2.51
Ag1 0.0000 0.5000 0.5000  6 Tc 2.85-2.88, 4 Tl 2.85, 2 Ag 3.10